[1]
Material: Ho2ErTl2Hg2
Method: DFT, PBE-GGA
State: relaxed

Unit cell a=4.9830 b=4.9830 c=26.3297 alpha=90.00 beta=90.00 gamma=120.00
Space group R-3m (No. 166, hexagonal axes)
Unique sites:
Ho: 0.0000 0.0000 0.1322 [6 per cell]
Er: 0.0000 0.0000 0.0000 [3 per cell]
Tl: 0.0000 0.0000 0.2743 [6 per cell]
Hg: 0.0000 0.0000 0.4354 [6 per cell]

Its energy of formation is -0.1554 eV per atom.

=====

[2]
Material: ZnNi2
Method: DFT, PBE-GGA
State: relaxed

Unit cell a=4.293 b=2.620 c=6.435 alpha=90.00 beta=104.94 gamma=90.00
Space group Pm (No. 6)
Unique sites:
Zn: 0.000 0.000 0.000 [1 per cell]
Zn: 0.257 0.000 0.655 [1 per cell]
Ni: 0.277 0.500 0.326 [1 per cell]
Ni: 0.502 0.500 0.995 [1 per cell]
Ni: 0.757 0.500 0.661 [1 per cell]
Ni: 0.765 0.000 0.328 [1 per cell]

Its energy of formation is -0.1383 eV per atom.

=====

[3]
Material: SiMoSe2
Method: DFT, PBE-GGA
State: relaxed

Unit cell a=3.289 b=4.082 c=5.258 alpha=90.00 beta=90.00 gamma=90.00
Space group Pmmm (No. 47)
Unique sites:
Si: 0.000 0.000 0.000 [1 per cell]
Mo: 0.500 0.000 0.500 [1 per cell]
Se: 0.000 0.500 0.500 [1 per cell]
Se: 0.500 0.500 0.000 [1 per cell]

For the formation energy (no corrections), the calculation gives 0.5581 eV/atom.